Computed, not measured: a geometry-optimized CoCuSe structure at the PBE level of DFT.

Space-group type = No. 129
E above lowest polymorph = 0 meV per atom
Formation energy (no corrections) = 0.014 eV per atom
VASP energy = -29.3 eV per cell

Lattice parameters (Å, degrees): 3.9064 3.9064 5.6070 90.00 90.00 90.00
Last column: magnetic moment on the atom in μB.
Fractional coordinates of all 6 atoms:
Co1 0.0000 0.0000 0.5000  1.16
Co2 0.5000 0.5000 0.5000  1.16
Cu1 0.0000 0.5000 0.8059  0.05
Cu2 0.5000 0.0000 0.1941  0.05
Se1 0.0000 0.5000 0.2425  0.06
Se2 0.5000 0.0000 0.7575  0.06

Computed, not measured: a geometry-optimized CsAgNF2 structure at the PBE level of DFT.

Space-group type = No. 123
Formation energy (no corrections) = 0.333 eV per atom
VASP energy = -14.1 eV per cell

Lattice parameters (Å, degrees): 5.3028 4.7536 5.3028 90.00 90.00 90.00
Last column: magnetic moment on the atom in μB.
Fractional coordinates of all 5 atoms:
Cs1 0.0000 0.0000 0.0000  0.12
N1 0.0000 0.5000 0.0000  1.20
Ag1 0.5000 0.5000 0.5000  0.00
F1 0.0000 0.0000 0.5000  0.05
F2 0.5000 0.0000 0.0000  0.05

Computed, not measured: a geometry-optimized VPPbCl2 structure at the PBE level of DFT.

Space-group type = No. 123
E above lowest polymorph = 0 meV per atom
Formation energy (no corrections) = -0.317 eV per atom
VASP energy = -23.5 eV per cell

Lattice parameters (Å, degrees): 5.0716 5.0716 5.0423 90.00 90.00 90.00
Last column: magnetic moment on the atom in μB.
Fractional coordinates of all 5 atoms:
Pb1 0.5000 0.5000 0.5000  0.02
P1 0.0000 0.0000 0.5000  -0.20
Cl1 0.0000 0.5000 0.0000  -0.01
Cl2 0.5000 0.0000 0.0000  -0.01
V1 0.0000 0.0000 0.0000  2.11

Computed, not measured: a geometry-optimized Zn4NiIr structure at the PBE level of DFT.

Space-group type = No. 47
E above lowest polymorph = 0 meV per atom
E_form = -0.04 eV per atom
VASP energy = -20.0 eV per cell

Lattice parameters (Å, degrees): 2.7479 7.1094 4.4268 90.00 90.00 90.00
Last column: magnetic moment on the atom in μB.
Fractional coordinates of all 6 atoms:
Zn1 0.5000 0.6807 0.0000  0.00
Zn2 0.5000 0.3193 0.0000  0.00
Zn3 0.0000 0.1966 0.5000  0.00
Zn4 0.0000 0.8034 0.5000  0.00
Ni1 0.5000 0.5000 0.5000  -0.01
Ir1 0.0000 0.0000 0.0000  0.16

Computed, not measured: a geometry-optimized YIrSeBr2 structure at the PBE level of DFT.

Space-group type = No. 123
E above lowest polymorph = 0 meV per atom
Formation energy (no corrections) = -0.157 eV per atom
VASP energy = -22.9 eV per cell

Lattice parameters (Å, degrees): 4.9960 4.9960 5.0421 90.00 90.00 90.00
Fractional coordinates of all 5 atoms:
Y1 0.5000 0.5000 0.5000
Ir1 0.0000 0.0000 0.0000
Se1 0.0000 0.0000 0.5000
Br1 0.0000 0.5000 0.0000
Br2 0.5000 0.0000 0.0000

Computed, not measured: a geometry-optimized Nd16Dy6Ho7 structure at the PBE level of DFT.

Space-group type = No. 225
E_form = 0.21 eV per atom
VASP energy = -129.9 eV per cell

Lattice parameters (Å, degrees): 11.3061 11.3061 11.3061 60.00 60.00 60.00
Fractional coordinates of all 29 atoms:
Nd1 0.8750 0.8750 0.3751
Nd2 0.8750 0.8750 0.8750
Nd3 0.8750 0.3751 0.8750
Nd4 0.3751 0.8750 0.8750
Nd5 0.1250 0.1250 0.1250
Nd6 0.1250 0.1250 0.6249
Nd7 0.1250 0.6249 0.1250
Nd8 0.6249 0.1250 0.1250
Nd9 0.6493 0.6493 0.0522
Nd10 0.6493 0.6493 0.6493
Nd11 0.6493 0.0522 0.6493
Nd12 0.0522 0.6493 0.6493
Nd13 0.3507 0.3507 0.3507
Nd14 0.3507 0.3507 0.9478
Nd15 0.3507 0.9478 0.3507
Nd16 0.9478 0.3507 0.3507
Dy1 0.2657 0.7343 0.2657
Dy2 0.7343 0.2657 0.7343
Dy3 0.7343 0.2657 0.2657
Dy4 0.2657 0.7343 0.7343
Dy5 0.7343 0.7343 0.2657
Dy6 0.2657 0.2657 0.7343
Ho1 0.0000 0.0000 0.0000
Ho2 0.5000 0.0000 0.5000
Ho3 0.0000 0.5000 0.0000
Ho4 0.0000 0.5000 0.5000
Ho5 0.5000 0.0000 0.0000
Ho6 0.0000 0.0000 0.5000
Ho7 0.5000 0.5000 0.0000

Computed, not measured: a geometry-optimized SmEuGdY structure at the PBE level of DFT.

Space-group type = No. 216
E_form = 0.15 eV per atom
VASP energy = -34.9 eV per cell

Lattice parameters (Å, degrees): 5.8088 5.8088 5.8088 60.00 60.00 60.00
Last column: magnetic moment on the atom in μB.
Fractional coordinates of all 4 atoms:
Eu1 0.5000 0.5000 0.5000  6.82
Y1 0.7500 0.7500 0.7500  -0.11
Gd1 0.0000 0.0000 0.0000  -7.36
Sm1 0.2500 0.2500 0.2500  -0.10

Computed, not measured: a geometry-optimized LaPr2HoTm2 structure at the PBE level of DFT.

Space-group type = No. 58
E_form = 0.07 eV per atom
VASP energy = -55.2 eV per cell

Lattice parameters (Å, degrees): 5.6980 9.9246 7.0766 90.00 90.00 90.00
Fractional coordinates of all 12 atoms:
La1 0.0000 0.0000 0.0000
La2 0.5000 0.5000 0.5000
Pr1 0.5000 0.8331 0.2546
Pr2 0.5000 0.1669 0.7454
Pr3 0.0000 0.6669 0.7546
Pr4 0.0000 0.3331 0.2454
Ho1 0.5000 0.5000 0.0000
Ho2 0.0000 0.0000 0.5000
Tm1 0.5000 0.1665 0.2490
Tm2 0.0000 0.6665 0.2510
Tm3 0.5000 0.8335 0.7510
Tm4 0.0000 0.3335 0.7490

Repeat the first record exactly.
Computed, not measured: a geometry-optimized CoCuSe structure at the PBE level of DFT.

Space-group type = No. 129
E above lowest polymorph = 0 meV per atom
Formation energy (no corrections) = 0.014 eV per atom
VASP energy = -29.3 eV per cell

Lattice parameters (Å, degrees): 3.9064 3.9064 5.6070 90.00 90.00 90.00
Last column: magnetic moment on the atom in μB.
Fractional coordinates of all 6 atoms:
Co1 0.0000 0.0000 0.5000  1.16
Co2 0.5000 0.5000 0.5000  1.16
Cu1 0.0000 0.5000 0.8059  0.05
Cu2 0.5000 0.0000 0.1941  0.05
Se1 0.0000 0.5000 0.2425  0.06
Se2 0.5000 0.0000 0.7575  0.06